Entry 1:
DFT (PBE) results for a relaxed structure of HRu3W.

a = 14.5270 Å, b = 7.1348 Å, c = 7.1348 Å
α = 157.80°, β = 150.75°, γ = 29.25°
Last column: nearest neighbours and their distance in Å.
Positions (direct):
H: 0.4270 0.9970 0.0030  2 Ru 1.85
Ru: 0.7175 0.3143 0.6857  2 H 1.85
Ru: 0.5434 0.2850 0.7150  2 H 2.15
Ru: 0.1866 0.1108 0.8892  1 H 2.20
W: 0.0817 0.0238 0.9762  6 Ru 2.50-2.79, 2 W 2.75
Ru: 0.8134 0.8892 0.1108  1 H 2.20
Ru: 0.2825 0.6857 0.3143  2 H 1.85
Ru: 0.4566 0.7150 0.2850  2 H 2.15
H: 0.5730 0.0030 0.9970  2 Ru 1.85
W: 0.9183 0.9762 0.0238  6 Ru 2.50-2.79, 2 W 2.75

Values from the calculation:
V	127.90	Å³/cell
space-group type	C2/m
offset from the most stable computed form	463.5	meV per atom
E_tot	-84.5	eV/cell


Entry 2:
DFT (PBE) results for a relaxed structure of HRu3W.

a = 5.2412 Å, b = 5.2410 Å, c = 4.8436 Å
α = 90.34°, β = 90.34°, γ = 64.05°
Last column: nearest neighbours and their distance in Å.
Positions (direct):
W: 0.2080 0.6568 0.1588  1 H 2.06
Ru: 0.4489 0.3955 0.6785  2 H 1.97-1.98
H: 0.0715 0.5202 0.5004  4 Ru 1.98, 2 W 2.06
Ru: 0.6944 0.6453 0.3226  2 H 1.98
Ru: 0.4439 0.8926 0.8424  1 H 2.01
Ru: 0.6993 0.1481 0.1587  1 H 2.01
Ru: 0.1966 0.1431 0.3226  2 H 1.98
H: 0.5718 0.0205 0.5006  6 Ru 1.97-2.01
W: 0.9352 0.3839 0.8423  1 H 2.06
Ru: 0.9468 0.8976 0.6785  2 H 1.97-1.98

Values from the calculation:
V	119.64	Å³/cell
space-group type	C2/m
offset from the most stable computed form	46.1	meV per atom
E_tot	-88.7	eV/cell


> offset from the most stable computed form of number 2 (HRu3W)?

46.1 meV per atom


> Among the records above, which one has the highest V?

number 1


> What is the offset from the most stable computed form in the second record?

46.1 meV per atom